DFT (GGA-PBE) results for crystalline Zn7GaNi4 at its relaxed geometry.

Properties
The value obtained for the formation energy is 40 meV per atom.

Cell: 4.4216 7.2993 6.1698 Å, 81.52 69.00 72.37°
Fractional coordinates of all 12 atoms:
Ni (0.4266, 0.7869, 0.3598)
Ni (0.6904, 0.6519, 0.9673)
Ni (0.5734, 0.2131, 0.6402)
Ni (0.3096, 0.3481, 0.0327)
Zn (0.2170, 0.1450, 0.4210)
Zn (0.3389, 0.5997, 0.7224)
Zn (0.6611, 0.4003, 0.2776)
Zn (0.0655, 0.6482, 0.2208)
Zn (0.7830, 0.8550, 0.5790)
Zn (0.9345, 0.3518, 0.7792)
Zn (0.5000, 0.0000, 0.0000)
Ga (0.0000, 0.0000, 0.0000)

DFT (GGA-PBE) results for crystalline Zn2Ga3Ni8 at its relaxed geometry.

Properties
The value obtained for the formation energy is -2 meV per atom.

Cell: 4.7144 4.7144 9.2629 Å, 75.26 75.26 60.00°
Fractional coordinates of all 13 atoms:
Ni (0.2738, 0.2738, 0.1785)
Ni (0.2729, 0.7748, 0.6795)
Ni (0.7748, 0.2729, 0.6795)
Ni (0.2729, 0.2729, 0.6795)
Ni (0.7271, 0.2252, 0.3205)
Ni (0.7262, 0.7262, 0.8215)
Ni (0.7271, 0.7271, 0.3205)
Ni (0.2252, 0.7271, 0.3205)
Ga (0.0000, 0.0000, 0.0000)
Ga (0.1853, 0.1853, 0.4441)
Ga (0.8147, 0.8147, 0.5559)
Zn (0.6363, 0.6363, 0.0912)
Zn (0.3637, 0.3637, 0.9088)

DFT (GGA-PBE) results for crystalline Zn3Ga2Ni4 at its relaxed geometry.

Properties
The value obtained for the formation energy is -275 meV per atom.

Cell: 3.8412 4.2545 7.8389 Å, 81.69 90.00 63.16°
Fractional coordinates of all 9 atoms:
Ni (0.9941, 0.0118, 0.6751)
Ni (0.3304, 0.3392, 0.1127)
Ni (0.0059, 0.9882, 0.3249)
Ni (0.6696, 0.6608, 0.8873)
Zn (0.0000, 0.0000, 0.0000)
Zn (0.6610, 0.6779, 0.5598)
Zn (0.3390, 0.3221, 0.4402)
Ga (0.6685, 0.6631, 0.2115)
Ga (0.3315, 0.3369, 0.7885)

DFT (GGA-PBE) results for crystalline ZnGa2Ni at its relaxed geometry.

Properties
The value obtained for the formation energy is 26 meV per atom.

Cell: 3.8636 3.8636 8.9524 Å, 77.54 77.54 90.00°
Fractional coordinates of all 8 atoms:
Ga (0.8750, 0.8555, 0.7500)
Ga (0.1445, 0.6250, 0.2500)
Ga (0.6055, 0.1250, 0.2500)
Ga (0.3750, 0.3945, 0.7500)
Ni (0.5000, 0.5000, 0.0000)
Ni (0.2500, 0.7500, 0.5000)
Zn (0.0000, 0.0000, 0.0000)
Zn (0.7500, 0.2500, 0.5000)

DFT (GGA-PBE) results for crystalline Zn2GaNi at its relaxed geometry.

Properties
The value obtained for the formation energy is 220 meV per atom.

Cell: 2.6356 2.6356 10.3652 Å, 82.70 82.70 60.00°
Fractional coordinates of all 4 atoms:
Ga (0.5000, 0.5000, 0.5000)
Zn (0.0790, 0.0790, 0.7631)
Zn (0.9210, 0.9210, 0.2369)
Ni (0.0000, 0.0000, 0.0000)

DFT (GGA-PBE) results for crystalline ZnGa2Ni9 at its relaxed geometry.

Properties
The value obtained for the formation energy is -227 meV per atom.

Cell: 3.5851 3.5851 10.7208 Å, 90.00 90.00 90.00°
Fractional coordinates of all 12 atoms:
Ni (0.5000, 0.5000, 0.3335)
Ni (0.5000, 0.5000, 0.6665)
Ni (0.5000, 0.0000, 0.8331)
Ni (0.0000, 0.5000, 0.1669)
Ni (0.0000, 0.5000, 0.5000)
Ni (0.0000, 0.5000, 0.8331)
Ni (0.5000, 0.0000, 0.5000)
Ni (0.5000, 0.5000, 0.0000)
Ni (0.5000, 0.0000, 0.1669)
Ga (0.0000, 0.0000, 0.3328)
Ga (0.0000, 0.0000, 0.6672)
Zn (0.0000, 0.0000, 0.0000)